(1)
Sc2PaSiC4: relaxed, GGA-PBE.

energy relative to the elements, uncorrected: -0.240 eV/atom
DOS at the Fermi energy: 0.59 states/eV per atom
total moment: 0.00 μB per cell

a = 5.7685 Å, b = 5.7685 Å, c = 11.2936 Å
α = 90.00°, β = 90.00°, γ = 146.86°
Fractional coordinates of all 16 atoms:
Sc (0.1343, 0.8657, 0.5471)
Sc (0.1343, 0.8657, 0.9529)
Sc (0.8657, 0.1343, 0.0471)
Sc (0.8657, 0.1343, 0.4529)
Pa (0.3925, 0.6075, 0.7500)
Pa (0.6075, 0.3925, 0.2500)
Si (0.3409, 0.6591, 0.2500)
Si (0.6591, 0.3409, 0.7500)
C (0.0594, 0.9406, 0.7500)
C (0.2302, 0.7698, 0.1275)
C (0.2302, 0.7698, 0.3725)
C (0.5000, 0.5000, 0.0000)
C (0.5000, 0.5000, 0.5000)
C (0.7698, 0.2302, 0.6275)
C (0.7698, 0.2302, 0.8725)
C (0.9406, 0.0594, 0.2500)

=====

(2)
ScPa2TaC4: relaxed, GGA-PBE.

DOS at the Fermi energy: 0.59 states/eV per atom
total moment: 0.00 μB per cell
calculated formation energy: -0.514 eV per atom

a = 6.8401 Å, b = 6.8401 Å, c = 6.8401 Å
α = 120.87°, β = 119.20°, γ = 89.95°
Fractional coordinates of all 16 atoms:
Sc (0.0000, 0.0000, 0.0000)
Sc (0.5000, 0.0000, 0.5000)
Pa (0.0000, 0.5000, 0.5000)
Pa (0.5000, 0.0000, 0.0000)
Pa (0.5000, 0.5000, 0.0000)
Pa (0.5000, 0.5000, 0.5000)
Ta (0.0000, 0.0000, 0.5000)
Ta (0.0000, 0.5000, 0.0000)
C (0.2264, 0.2466, 0.9798)
C (0.2333, 0.7534, 0.4798)
C (0.2393, 0.2376, 0.4982)
C (0.2393, 0.7411, 0.0018)
C (0.7607, 0.2589, 0.9982)
C (0.7607, 0.7624, 0.5018)
C (0.7667, 0.2466, 0.5202)
C (0.7736, 0.7534, 0.0202)

=====

(3)
Sc2PaTcC4: relaxed, GGA-PBE.

DOS at the Fermi energy: 0.45 states/eV per atom
total moment: 0.00 μB per cell
calculated formation energy: -0.180 eV per atom

a = 6.0269 Å, b = 6.0269 Å, c = 11.3911 Å
α = 90.00°, β = 90.00°, γ = 147.87°
Fractional coordinates of all 16 atoms:
Sc (0.1269, 0.8731, 0.5396)
Sc (0.1269, 0.8731, 0.9604)
Sc (0.8731, 0.1269, 0.0396)
Sc (0.8731, 0.1269, 0.4604)
Pa (0.4019, 0.5981, 0.7500)
Pa (0.5981, 0.4019, 0.2500)
Tc (0.3384, 0.6616, 0.2500)
Tc (0.6616, 0.3384, 0.7500)
C (0.0581, 0.9419, 0.7500)
C (0.2306, 0.7694, 0.1255)
C (0.2306, 0.7694, 0.3745)
C (0.5000, 0.5000, 0.0000)
C (0.5000, 0.5000, 0.5000)
C (0.7694, 0.2306, 0.6255)
C (0.7694, 0.2306, 0.8745)
C (0.9419, 0.0581, 0.2500)

=====

(4)
ScPaTcC3: relaxed, GGA-PBE.

DOS at the Fermi energy: 0.67 states/eV per atom
total moment: 0.00 μB per cell
calculated formation energy: -0.050 eV per atom

a = 7.0816 Å, b = 3.4252 Å, c = 7.6724 Å
α = 90.00°, β = 98.06°, γ = 90.00°
Fractional coordinates of all 12 atoms:
Sc (0.1339, 0.2500, 0.1473)
Sc (0.8661, 0.7500, 0.8527)
Pa (0.3250, 0.7500, 0.8201)
Pa (0.6750, 0.2500, 0.1799)
Tc (0.3925, 0.7500, 0.3980)
Tc (0.6075, 0.2500, 0.6020)
C (0.1074, 0.2500, 0.8527)
C (0.3190, 0.2500, 0.5063)
C (0.3825, 0.7500, 0.1396)
C (0.6175, 0.2500, 0.8604)
C (0.6810, 0.7500, 0.4937)
C (0.8926, 0.7500, 0.1473)

=====

(5)
ScPa2TcC4: relaxed, GGA-PBE.

DOS at the Fermi energy: 0.54 states/eV per atom
total moment: 0.00 μB per cell
calculated formation energy: -0.056 eV per atom

a = 6.0758 Å, b = 6.0758 Å, c = 11.7741 Å
α = 90.00°, β = 90.00°, γ = 146.25°
Fractional coordinates of all 16 atoms:
Sc (0.1368, 0.8632, 0.7500)
Sc (0.8632, 0.1368, 0.2500)
Pa (0.3672, 0.6328, 0.5412)
Pa (0.3672, 0.6328, 0.9588)
Pa (0.6328, 0.3672, 0.0412)
Pa (0.6328, 0.3672, 0.4588)
Tc (0.1306, 0.8694, 0.2500)
Tc (0.8694, 0.1306, 0.7500)
C (0.0000, 0.0000, 0.0000)
C (0.0000, 0.0000, 0.5000)
C (0.2618, 0.7382, 0.1333)
C (0.2618, 0.7382, 0.3667)
C (0.4511, 0.5489, 0.7500)
C (0.5489, 0.4511, 0.2500)
C (0.7382, 0.2618, 0.6333)
C (0.7382, 0.2618, 0.8667)

=====

(6)
ScPaTeC: relaxed, GGA-PBE.

energy relative to the elements, uncorrected: -0.714 eV/atom
DOS at the Fermi energy: 0.90 states/eV per atom
total moment: 0.00 μB per cell

a = 7.3139 Å, b = 7.3139 Å, c = 7.3139 Å
α = 28.86°, β = 28.86°, γ = 28.86°
Fractional coordinates of all 4 atoms:
Sc (0.0000, 0.0000, 0.0000)
Pa (0.2114, 0.2114, 0.2114)
Te (0.4328, 0.4328, 0.4328)
C (0.6074, 0.6074, 0.6074)

=====

(7)
ThSc2PaC4: relaxed, GGA-PBE.

DOS at the Fermi energy: 1.13 states/eV per atom
total moment: 0.00 μB per cell
calculated formation energy: -0.274 eV per atom

a = 5.9942 Å, b = 3.5713 Å, c = 6.1755 Å
α = 90.00°, β = 110.05°, γ = 90.00°
Fractional coordinates of all 8 atoms:
Th (0.0000, 0.0000, 0.0000)
Sc (0.5000, 0.0000, 0.5000)
Sc (0.5000, 0.5000, 0.0000)
Pa (0.0000, 0.5000, 0.5000)
C (0.2503, 0.0000, 0.7407)
C (0.2589, 0.5000, 0.2665)
C (0.7411, 0.5000, 0.7335)
C (0.7497, 0.0000, 0.2593)

=====

(8)
Sc2PaTiC4: relaxed, GGA-PBE.

DOS at the Fermi energy: 0.90 states/eV per atom
total moment: 0.00 μB per cell
calculated formation energy: -0.406 eV per atom

a = 5.7589 Å, b = 3.3674 Å, c = 5.7969 Å
α = 90.00°, β = 109.83°, γ = 90.00°
Fractional coordinates of all 8 atoms:
Sc (0.0000, 0.0000, 0.0000)
Sc (0.0000, 0.5000, 0.5000)
Pa (0.5000, 0.0000, 0.5000)
Ti (0.5000, 0.5000, 0.0000)
C (0.2615, 0.0000, 0.7640)
C (0.2623, 0.5000, 0.2382)
C (0.7385, 0.0000, 0.2360)
C (0.7377, 0.5000, 0.7618)